This record from the Alexandria database describes Cs2AuIBr3 after structural relaxation. The functional is PBE-GGA.

For the density of states at the Fermi level, the calculation gives 3.6 states/eV/cell. The formation energy (no corrections) is -1.026 eV per atom. Its magnetization is 0.00 μB per formula unit.

Cell: 9.956 9.956 9.956 Å, 147.32 147.11 47.05°
Atoms (fractional coordinates):
Cs 0.145 0.145 0.000
Cs 0.855 0.855 0.000
Au 0.500 0.500 0.000
I 0.000 0.500 0.500
Br 0.346 0.346 0.000
Br 0.500 0.000 0.500
Br 0.654 0.654 0.000

***

This record from the Alexandria database describes Cs6Au2IBr after structural relaxation. The functional is PBE-GGA.

For the density of states at the Fermi level, the calculation gives 6.3 states/eV/cell. The formation energy (no corrections) is -0.753 eV per atom. Its magnetization is 1.18 μB per formula unit.

Cell: 9.130 9.132 10.287 Å, 89.98 63.68 60.05°
Atoms (fractional coordinates):
Cs 0.000 0.000 0.000
Cs 0.001 0.807 0.508
Cs 0.323 0.330 0.000
Cs 0.336 0.186 0.508
Cs 0.622 0.522 0.509
Cs 0.653 0.678 0.001
Au 0.496 0.917 0.745
Au 0.502 0.414 0.234
I 0.137 0.097 0.282
Br 0.144 0.593 0.772

***

This record from the Alexandria database describes Cs6AuI3Br2 after structural relaxation. The functional is PBE-GGA.

For the density of states at the Fermi level, the calculation gives 0.0 states/eV/cell. The formation energy (no corrections) is -1.422 eV per atom. Its magnetization is 0.00 μB per formula unit.

Cell: 12.057 12.057 10.799 Å, 103.08 103.08 25.77°
Atoms (fractional coordinates):
Cs 0.004 0.004 0.243
Cs 0.330 0.330 0.426
Cs 0.336 0.336 0.908
Cs 0.664 0.664 0.092
Cs 0.670 0.670 0.574
Cs 0.996 0.996 0.757
Au 0.500 0.500 0.000
I 0.166 0.166 0.833
I 0.500 0.500 0.500
I 0.834 0.834 0.167
Br 0.167 0.167 0.333
Br 0.833 0.833 0.667

***

Question: Which of these has the highest formation energy (no corrections)?
Answer: Cs6Au2IBr